DFT (GGA-PBEsol) results for crystalline BaMg2Pt2 at its relaxed geometry.

```
BaMg2Pt2
1.0
4.365 0.000 0.000
0.000 4.365 0.000
-2.183 -2.183 5.875
Pt Ba Mg
2 1 2
direct
0.386 0.386 0.771
0.614 0.614 0.229
0.000 0.000 0.000
0.750 0.250 0.500
0.250 0.750 0.500
```

Values from the calculation:
formation enthalpy at 0 K	-0.691	eV/atom
magnetic moment	0.00	μB/atom
D(E_F)	0.3809	states/eV per atom